## Tb3Sm8Y (GGA-PBE)

Data for a geometry-optimized Tb3Sm8Y structure.

Values from the calculation:
ΔH_f (0 K) (eV/atom): 0.120
Calculated volume (Å³/atom): 33.4
Uncorrected energy (eV/atom): -4.722
Total moment (μB per formula unit): 0.000
N(E_F) (states/eV/atom): 2.21

The structure in CIF format:
```
data_Tb3Sm8Y
_space_group_name_H-M_alt 'C 1 2/m 1'
_space_group_IT_number 12
_cell_length_a 7.029
_cell_length_b 12.008
_cell_length_c 9.774
_cell_angle_alpha 90.00
_cell_angle_beta 103.97
_cell_angle_gamma 90.00
loop_
_space_group_symop_operation_xyz
'x,y,z'
'-x,-y,-z'
'-x,y,-z'
'x,-y,z'
'x+1/2,y+1/2,z'
'-x+1/2,-y+1/2,-z'
'-x+1/2,y+1/2,-z'
'x+1/2,-y+1/2,z'
loop_
_atom_site_label
_atom_site_fract_x
_atom_site_fract_y
_atom_site_fract_z
Tb1 0.000 0.000 0.000
Tb2 0.250 0.250 0.500
Sm1 0.075 0.250 0.833
Sm2 0.177 0.000 0.666
Sm3 0.178 0.500 0.665
Y1 0.000 0.500 0.000
```

## BiH6Ir2Pd (GGA-PBE)

Data for a geometry-optimized BiH6Ir2Pd structure.

Values from the calculation:
Calculated volume (Å³/atom): 9.8
Uncorrected energy (eV/atom): -4.548
Total moment (μB per formula unit): 0.000
N(E_F) (states/eV/atom): 0.17

The structure in CIF format:
```
data_BiH6Ir2Pd
_space_group_name_H-M_alt 'C 1 2/c 1'
_space_group_IT_number 15
_cell_length_a 8.275
_cell_length_b 8.978
_cell_length_c 5.467
_cell_angle_alpha 90.00
_cell_angle_beta 105.23
_cell_angle_gamma 90.00
loop_
_space_group_symop_operation_xyz
'x,y,z'
'-x,-y,-z'
'-x,y,-z+1/2'
'x,-y,z+1/2'
'x+1/2,y+1/2,z'
'-x+1/2,-y+1/2,-z'
'-x+1/2,y+1/2,-z+1/2'
'x+1/2,-y+1/2,z+1/2'
loop_
_atom_site_label
_atom_site_fract_x
_atom_site_fract_y
_atom_site_fract_z
Bi1 0.000 0.156 0.250
H1 0.103 0.423 0.103
H2 0.159 0.287 0.672
H3 0.213 0.021 0.591
Ir1 0.189 0.130 0.835
Pd1 0.000 0.421 0.750
```

## LaEr4Pd5 (GGA-PBE)

Data for a geometry-optimized LaEr4Pd5 structure.

Values from the calculation:
ΔH_f (0 K) (eV/atom): -0.885
Calculated volume (Å³/atom): 21.7
Uncorrected energy (eV/atom): -5.799
Total moment (μB per formula unit): 0.000
N(E_F) (states/eV/atom): 0.77

The structure in CIF format:
```
data_LaEr4Pd5
_space_group_name_H-M_alt 'P 4/m m m'
_space_group_IT_number 123
_space_group_name_Hall '-P 4 2'
_cell_length_a 3.479
_cell_length_b 3.479
_cell_length_c 17.942
_cell_angle_alpha 90.00
_cell_angle_beta 90.00
_cell_angle_gamma 90.00
loop_
_atom_site_label
_atom_site_fract_x
_atom_site_fract_y
_atom_site_fract_z
La1 0.000 0.000 0.000
Er1 0.000 0.000 0.208
Er2 0.000 0.000 0.403
Pd1 0.500 0.500 0.117
Pd2 0.500 0.500 0.306
Pd3 0.500 0.500 0.500
```